No. 1
{
  "formula": "Ca2Be2AlO6",
  "functional": "PBE",
  "state": "optimized geometry",
  "lattice": [[-4.1964, 1.1857, 2.8476], [-4.6291, 0.6015, -2.3095], [-3.8852, -4.2524, 0.8077]],
  "species": ["Ca", "Ca", "Be", "Be", "Al", "O", "O", "O", "O", "O", "O"],
  "frac_coords": [[0.7874, 0.7874, 0.6379], [0.2126, 0.2126, 0.3621], [0.4146, 0.4146, 0.7562], [0.5854, 0.5854, 0.2438], [0.0000, 0.0000, 0.0000], [0.7555, 0.7555, 0.2394], [0.2495, 0.7555, 0.2394], [0.7555, 0.2495, 0.2394], [0.2445, 0.7505, 0.7606], [0.7505, 0.2445, 0.7606], [0.2445, 0.2445, 0.7606]],
  "sg": "No. 166",
  "density_g_cm3": 3.140,
  "final_energy_ev_per_atom": -6.683,
  "e_form_raw_ev_per_atom": -2.5965
}


No. 2
{
  "formula": "CaBe2AlPb",
  "functional": "PBE",
  "state": "optimized geometry",
  "lattice": [[-0.6961, 3.0136, 3.3070], [-5.3918, -1.6745, 0.3910], [1.1867, -3.1026, 3.0771]],
  "species": ["Pb", "Be", "Be", "Ca", "Al"],
  "frac_coords": [[0.0000, 0.5000, 0.0000], [0.0000, 0.0000, 0.5000], [0.5000, 0.0000, 0.0000], [0.5000, 0.5000, 0.5000], [0.0000, 0.0000, 0.0000]],
  "sg": "No. 123",
  "density_g_cm3": 4.183,
  "formation_enthalpy_0k_ev_per_atom": 0.553,
  "de_polymorph_mev_per_atom": 0,
  "final_energy_ev_per_atom": -2.828
}


No. 3
{
  "formula": "CaBe2AlPb",
  "functional": "PBE",
  "state": "optimized geometry",
  "lattice": [[-2.0381, 2.6323, 3.9153], [-2.3208, -4.6253, 1.9016], [4.1927, -0.9452, 2.8179]],
  "species": ["Pb", "Be", "Be", "Ca", "Al"],
  "frac_coords": [[0.5000, 0.5000, 0.5000], [0.0000, 0.0000, 0.5000], [0.5000, 0.0000, 0.0000], [0.0000, 0.0000, 0.0000], [0.0000, 0.5000, 0.0000]],
  "sg": "No. 123",
  "density_g_cm3": 3.333,
  "formation_enthalpy_0k_ev_per_atom": 1.501,
  "de_polymorph_mev_per_atom": 948,
  "final_energy_ev_per_atom": -1.880
}